VASP calculation (GGA-PBE) on a relaxed Sm3IrPt2 crystal.

abc: 11.8375 4.1740 11.7519
angles: 90.00 90.00 90.00
Space group Pnma (No. 62)
Asymmetric unit:
Sm 0.0464 0.2500 0.1234 [4 per cell]
Sm 0.1215 0.7500 0.5558 [4 per cell]
Sm 0.2222 0.2500 0.8056 [4 per cell]
Ir 0.1237 0.2500 0.3751 [4 per cell]
Pt 0.0027 0.2500 0.6985 [4 per cell]
Pt 0.1781 0.7500 0.9996 [4 per cell]

***

VASP calculation (GGA-PBE) on a relaxed Sm4Ir3Pt crystal.

abc: 3.9824 4.2269 10.9234
angles: 90.00 90.00 90.00
Space group Pmm2 (No. 25)
Asymmetric unit:
Sm 0.0000 0.0000 0.0000 [1 per cell]
Sm 0.0000 0.5000 0.2821 [1 per cell]
Sm 0.5000 0.0000 0.4914 [1 per cell]
Sm 0.5000 0.5000 0.7846 [1 per cell]
Ir 0.0000 0.5000 0.5556 [1 per cell]
Ir 0.5000 0.0000 0.2189 [1 per cell]
Ir 0.5000 0.5000 0.0554 [1 per cell]
Pt 0.0000 0.0000 0.7223 [1 per cell]

***

VASP calculation (GGA-PBE) on a relaxed Sm8Ir2Pt crystal.

abc: 8.5127 12.5937 6.2773
angles: 90.00 108.90 90.00
Space group Cm (No. 8)
Asymmetric unit:
Sm 0.0000 0.0000 0.0000 [2 per cell]
Sm 0.0730 0.3661 0.8126 [4 per cell]
Sm 0.1507 0.1326 0.5878 [4 per cell]
Sm 0.2185 0.5000 0.3869 [2 per cell]
Sm 0.3648 0.2114 0.1968 [4 per cell]
Ir 0.3589 0.3142 0.6903 [4 per cell]
Pt 0.3571 0.0000 0.0070 [2 per cell]

***

VASP calculation (GGA-PBE) on a relaxed Sm6IrPt2 crystal.

abc: 6.7723 7.3956 12.0019
angles: 90.00 120.35 90.00
Space group P2_1/c (No. 14)
Asymmetric unit:
Sm 0.0906 0.0472 0.2519 [4 per cell]
Sm 0.2540 0.6767 0.0775 [4 per cell]
Sm 0.3997 0.1836 0.0688 [4 per cell]
Ir 0.0000 0.0000 0.0000 [2 per cell]
Pt 0.3241 0.1140 0.7690 [4 per cell]

***

no.,ΔE_f (meV per atom),DOS at the Fermi energy (states/eV/f.u.),electronic total energy (eV/f.u.)
1,-934,3.671,-40.7
2,-805,3.248,-57.9
3,-463,10.979,-66.6
4,-732,8.441,-55.8